Entry 1:
Here is a relaxed Sm4CdHg2 crystal from Alexandria via LeMat-Bulk. Energies are from GGA-PBE.

E above lowest polymorph, meV/atom: 0.0
Density of states at the Fermi level, states/eV per cell: 17.91
E_form, eV/atom: -0.2711
Energy, Ha/atom: -0.117

Unit cell a=7.498 b=7.498 c=7.525 alpha=90.00 beta=90.00 gamma=90.00
Space group I4/mmm (No. 139)
Inequivalent atoms, fractional coordinates:
Sm (0.250, 0.250, 0.250) [8 per cell]
Cd (0.000, 0.000, 0.000) [2 per cell]
Hg (0.000, 0.500, 0.000) [4 per cell]

Entry 2:
Here is a relaxed ThAlTc2 crystal from Alexandria via LeMat-Bulk. Energies are from GGA-PBE.

E above lowest polymorph, meV/atom: 0.0
Density of states at the Fermi level, states/eV per cell: 21.35
E_form, eV/atom: -0.1548
Energy, Ha/atom: -0.299

Unit cell a=6.596 b=6.596 c=6.596 alpha=90.00 beta=90.00 gamma=90.00
Space group Fm-3m (No. 225)
Inequivalent atoms, fractional coordinates:
Th (0.000, 0.000, 0.000) [4 per cell]
Al (0.000, 0.000, 0.500) [4 per cell]
Tc (0.250, 0.250, 0.250) [8 per cell]

What is the formula in the first record?
Sm4CdHg2

density of states at the Fermi level of number 1 (Sm4CdHg2)?
17.91 states/eV per cell